Run A
MnRhF3: relaxed, PBE+U.

Properties
Volume: 77 Å³ per cell

Cell lengths 4.2548, 4.2548, 4.2548 Å; angles 90.00, 90.00, 90.00 degrees
Closest atoms and distances in Å follow each position.
Space group Pm-3m (No. 221)
Inequivalent atoms, fractional coordinates:
Mn 0.0000 0.0000 0.0000 x1  12 F 3.01
Rh 0.5000 0.5000 0.5000 x1  6 F 2.13
F 0.0000 0.5000 0.5000 x3  2 Rh 2.13



Run B
MnRhF3: relaxed, PBE+U.

Properties
Volume: 73 Å³ per cell

Cell lengths 4.1889, 4.1889, 4.1889 Å; angles 90.00, 90.00, 90.00 degrees
Closest atoms and distances in Å follow each position.
Space group Pm-3m (No. 221)
Inequivalent atoms, fractional coordinates:
Mn 0.0000 0.0000 0.0000 x1  6 F 2.09
Rh 0.5000 0.5000 0.5000 x1  12 F 2.96
F 0.0000 0.0000 0.5000 x3  2 Mn 2.09



Stability comparison, relative energies in eV/atom: run A 0.346; run B 0.000



Run A
MnRu2F2: relaxed, PBE+U.

Properties
Volume: 134 Å³ per cell

Cell lengths 3.3914, 3.3914, 11.6487 Å; angles 90.00, 90.00, 90.00 degrees
Closest atoms and distances in Å follow each position.
Space group I4/mmm (No. 139)
Inequivalent atoms, fractional coordinates:
Mn 0.0000 0.0000 0.0000 x2  8 Ru 2.73
Ru 0.0000 0.0000 0.3876 x4  4 F 2.33
F 0.0000 0.5000 0.2500 x4  4 Ru 2.33, 4 F 2.40



Run B
MnRu2F2: relaxed, PBE+U.

Properties
Volume: 172 Å³ per cell

Cell lengths 6.4864, 6.4864, 4.0782 Å; angles 90.00, 90.00, 90.00 degrees
Closest atoms and distances in Å follow each position.
Space group P4/mbm (No. 127)
Inequivalent atoms, fractional coordinates:
Mn 0.0000 0.0000 0.0000 x2  4 Ru 2.56
Ru 0.1270 0.3730 0.0000 x4  2 F 2.06
F 0.1560 0.3440 0.5000 x4  2 Ru 2.06



Stability comparison, relative energies in eV/atom: run A 0.000; run B 0.110



Run A
MnSF2: relaxed, PBE+U.

Properties
Volume: 234 Å³ per cell

Cell lengths 3.1100, 3.1100, 27.9945 Å; angles 90.00, 90.00, 120.00 degrees
Closest atoms and distances in Å follow each position.
Space group R-3m (No. 166, hexagonal axes)
Inequivalent atoms, fractional coordinates:
Mn 0.0000 0.0000 0.0000 x3  6 F 2.11
S 0.0000 0.0000 0.5000 x3  6 S 3.11
F 0.0000 0.0000 0.3728 x6  3 Mn 2.11



Run B
MnSF2: relaxed, PBE+U.

Properties
Volume: 215 Å³ per cell

Cell lengths 5.9935, 5.9935, 5.9935 Å; angles 90.00, 90.00, 90.00 degrees
Closest atoms and distances in Å follow each position.
Space group Fm-3m (No. 225)
Inequivalent atoms, fractional coordinates:
Mn 0.0000 0.0000 0.0000 x4  8 F 2.60
S 0.0000 0.0000 0.5000 x4  8 F 2.60
F 0.2500 0.2500 0.2500 x8  4 S 2.60, 4 Mn 2.60



Run C
MnSF2: relaxed, PBE+U.

Properties
Volume: 262 Å³ per cell

Cell lengths 7.1275, 7.1275, 5.1608 Å; angles 90.00, 90.00, 90.00 degrees
Closest atoms and distances in Å follow each position.
Space group I-42d (No. 122)
Inequivalent atoms, fractional coordinates:
Mn 0.0000 0.0000 0.0000 x4  4 F 2.03
S 0.0000 0.0000 0.5000 x4  2 Mn 2.58, 4 F 2.73
F 0.1034 0.2500 0.1250 x8  2 Mn 2.03



Stability comparison, relative energies in eV/atom: run A 0.000; run B 0.610; run C 0.250



Run A
MnSbF2: relaxed, PBE+U.

Properties
Volume: 340 Å³ per cell

Cell lengths 6.2491, 6.2491, 8.6957 Å; angles 90.00, 90.00, 90.00 degrees
Closest atoms and distances in Å follow each position.
Space group I-42d (No. 122)
Inequivalent atoms, fractional coordinates:
Mn 0.0000 0.0000 0.0000 x4  4 F 1.99
Sb 0.0000 0.0000 0.5000 x4  4 F 3.17
F 0.0951 0.2500 0.1250 x8  2 Mn 1.99



Run B
MnSbF2: relaxed, PBE+U.

Properties
Volume: 258 Å³ per cell

Cell lengths 3.2595, 3.2595, 28.0547 Å; angles 90.00, 90.00, 120.00 degrees
Closest atoms and distances in Å follow each position.
Space group R-3m (No. 166, hexagonal axes)
Inequivalent atoms, fractional coordinates:
Mn 0.0000 0.0000 0.0000 x3  6 F 2.14
Sb 0.0000 0.0000 0.5000 x3  6 Sb 3.26
F 0.0000 0.0000 0.3696 x6  3 Mn 2.14



Stability comparison, relative energies in eV/atom: run A 0.320; run B 0.000



Run A
MnSb2F: relaxed, PBE+U.

Properties
Volume: 371 Å³ per cell

Cell lengths 4.2296, 4.2296, 20.7297 Å; angles 90.00, 90.00, 90.00 degrees
Closest atoms and distances in Å follow each position.
Space group I-42d (No. 122)
Inequivalent atoms, fractional coordinates:
Mn 0.0000 0.0000 0.0000 x4  4 Sb 2.98, 4 F 2.99
Sb 0.2403 0.2500 0.1250 x8  4 Sb 2.93-3.05, 2 Mn 2.98, 2 F 3.01
F 0.0000 0.0000 0.5000 x4  4 Mn 2.99, 4 Sb 3.01



Run B
MnSb2F: relaxed, PBE+U.

Properties
Volume: 316 Å³ per cell

Cell lengths 6.8142, 6.8142, 6.8142 Å; angles 90.00, 90.00, 90.00 degrees
Closest atoms and distances in Å follow each position.
Space group Fm-3m (No. 225)
Inequivalent atoms, fractional coordinates:
Mn 0.0000 0.0000 0.0000 x4  8 Sb 2.95
Sb 0.2500 0.2500 0.2500 x8  4 F 2.95, 4 Mn 2.95
F 0.0000 0.0000 0.5000 x4  8 Sb 2.95



Stability comparison, relative energies in eV/atom: run A 0.028; run B 0.000



Run A
Mn3SbF: relaxed, PBE+U.

Properties
Volume: 168 Å³ per cell

Cell lengths 5.5135, 5.5135, 5.5135 Å; angles 90.00, 90.00, 90.00 degrees
Closest atoms and distances in Å follow each position.
Space group Pm-3m (No. 221)
Inequivalent atoms, fractional coordinates:
Mn 0.0000 0.0000 0.5000 x3  2 Sb 2.76
Sb 0.0000 0.0000 0.0000 x1  6 Mn 2.76
F 0.5000 0.5000 0.5000 x1  12 Mn 3.90



Run B
Mn3SbF: relaxed, PBE+U.

Properties
Volume: 97 Å³ per cell

Cell lengths 4.5983, 4.5983, 4.5983 Å; angles 90.00, 90.00, 90.00 degrees
Closest atoms and distances in Å follow each position.
Space group Pm-3m (No. 221)
Inequivalent atoms, fractional coordinates:
Mn 0.0000 0.0000 0.5000 x3  2 F 2.30
Sb 0.5000 0.5000 0.5000 x1  12 Mn 3.25
F 0.0000 0.0000 0.0000 x1  6 Mn 2.30



Stability comparison, relative energies in eV/atom: run A 0.661; run B 0.000